Entry 1:
A relaxed Ac3CeNd2Te6 crystal, computed with GGA-PBE.

Values from the calculation:
Uncorrected formation energy   -1.4448 eV/atom

Unit cell a=20.1500 b=4.5831 c=9.3076 alpha=90.00 beta=103.71 gamma=90.00
Closest atoms and distances in Å follow each position.
Space group C2/m (No. 12)
Inequivalent atoms, fractional coordinates:
Ac 0.0000 0.0000 0.0000 [2 per cell]  6 Te 3.32-3.33
Ac 0.1665 0.5000 0.3330 [4 per cell]  6 Te 3.33
Ce 0.0000 0.0000 0.5000 [2 per cell]  6 Te 3.20
Nd 0.1672 0.5000 0.8334 [4 per cell]  6 Te 3.19-3.20
Te 0.0037 0.5000 0.7420 [4 per cell]  2 Ce 3.20, 1 Nd 3.20, 3 Ac 3.33
Te 0.1636 0.0000 0.5913 [4 per cell]  2 Nd 3.20, 1 Ce 3.20, 3 Ac 3.33
Te 0.1697 0.0000 0.0749 [4 per cell]  3 Nd 3.19-3.20, 3 Ac 3.32-3.33

***

Entry 2:
A relaxed SrLaO2F crystal, computed with GGA-PBE.

Values from the calculation:
Uncorrected formation energy   -2.9628 eV/atom

Unit cell a=4.6757 b=4.6757 c=4.6058 alpha=90.00 beta=90.00 gamma=90.00
Closest atoms and distances in Å follow each position.
Space group P4/mmm (No. 123)
Inequivalent atoms, fractional coordinates:
Sr 0.0000 0.0000 0.0000 [1 per cell]  8 O 3.28, 4 F 3.31
La 0.5000 0.5000 0.5000 [1 per cell]  2 F 2.30, 4 O 2.34
O 0.0000 0.5000 0.5000 [2 per cell]  2 La 2.34
F 0.5000 0.5000 0.0000 [1 per cell]  2 La 2.30

***

Entry 3:
A relaxed CaAgO2 crystal, computed with GGA-PBE.

Values from the calculation:
Uncorrected formation energy   -1.4791 eV/atom

Unit cell a=5.8791 b=5.8791 c=3.3777 alpha=90.00 beta=90.00 gamma=90.00
Closest atoms and distances in Å follow each position.
Space group P-42_1m (No. 113)
Inequivalent atoms, fractional coordinates:
Ca 0.0000 0.5000 0.1206 [2 per cell]  6 O 2.40-2.60
Ag 0.0000 0.0000 0.5000 [2 per cell]  4 O 2.15
O 0.2062 0.7062 0.6165 [4 per cell]  2 Ag 2.15, 1 Ca 2.40

***

Entry 4:
A relaxed CoRePS2 crystal, computed with GGA-PBE.

Values from the calculation:
Uncorrected formation energy   0.9592 eV/atom
Energy above the lowest structure with this stoichiometry   0 meV per atom

Unit cell a=4.6104 b=4.6104 c=4.6587 alpha=90.00 beta=90.00 gamma=90.00
Closest atoms and distances in Å follow each position.
Space group P4/mmm (No. 123)
Inequivalent atoms, fractional coordinates:
Co 0.0000 0.0000 0.0000 [1 per cell]  4 P 3.26, 8 S 3.28
Re 0.5000 0.5000 0.5000 [1 per cell]  4 S 2.31, 2 P 2.33
P 0.5000 0.5000 0.0000 [1 per cell]  2 Re 2.33
S 0.0000 0.5000 0.5000 [2 per cell]  2 Re 2.31

***

Entry 5:
A relaxed CsTa3Au4Se12 crystal, computed with GGA-PBE.

Values from the calculation:
Uncorrected formation energy   -0.3085 eV/atom

Unit cell a=14.8450 b=14.8450 c=9.1099 alpha=90.00 beta=90.00 gamma=120.00
Closest atoms and distances in Å follow each position.
Space group R32 (No. 155, hexagonal axes)
Inequivalent atoms, fractional coordinates:
Cs 0.0000 0.0000 0.0000 [3 per cell]  6 Se 3.57
Ta 0.0000 0.5456 0.0000 [9 per cell]  4 Se 2.41-2.65
Au 0.0000 0.0000 0.5000 [3 per cell]  3 Se 2.54
Au 0.0000 0.4502 0.5000 [9 per cell]  3 Se 2.49-2.56
Se 0.0000 0.6182 0.5000 [9 per cell]  1 Au 2.49, 2 Ta 2.71
Se 0.0000 0.8287 0.5000 [9 per cell]  1 Au 2.54, 2 Ta 2.65
Se 0.0674 0.2428 0.1686 [18 per cell]  1 Ta 2.41, 1 Au 2.56

***

Entry 6:
A relaxed Ce3Tl2Pb2 crystal, computed with GGA-PBE.

Values from the calculation:
Energy of formation   -195 meV per atom

Unit cell a=9.2152 b=5.3435 c=9.7288 alpha=90.00 beta=107.89 gamma=90.00
Closest atoms and distances in Å follow each position.
Space group C2/m (No. 12)
Inequivalent atoms, fractional coordinates:
Ce 0.0000 0.0000 0.0000 [2 per cell]  6 Pb 3.33, 2 Tl 3.62
Ce 0.2463 0.0000 0.7373 [4 per cell]  4 Tl 3.21-3.30, 3 Pb 3.29
Tl 0.1298 0.0000 0.3909 [4 per cell]  4 Ce 3.21-3.30
Pb 0.1211 0.5000 0.8635 [4 per cell]  6 Ce 3.29-3.33

***

Entry 7:
A relaxed KLiEu crystal, computed with GGA-PBE.

Values from the calculation:
Energy of formation   183 meV per atom
Energy above the lowest structure with this stoichiometry   13 meV per atom

Unit cell a=3.9749 b=3.9749 c=9.6141 alpha=90.00 beta=90.00 gamma=120.00
Closest atoms and distances in Å follow each position.
Space group P3m1 (No. 156)
Inequivalent atoms, fractional coordinates:
K 0.0000 0.0000 0.0000 [1 per cell]  3 Li 3.89, 6 K 3.97
Li 0.6667 0.3333 0.3270 [1 per cell]  3 Eu 3.54, 3 K 3.89
Eu 0.3333 0.6667 0.6073 [1 per cell]  3 Li 3.54

***

Entry 8:
A relaxed K3HgAu2 crystal, computed with GGA-PBE.

Values from the calculation:
Energy of formation   -259 meV per atom
Energy above the lowest structure with this stoichiometry   4 meV per atom

Unit cell a=9.6286 b=10.9658 c=10.2094 alpha=90.00 beta=121.79 gamma=90.00
Closest atoms and distances in Å follow each position.
Space group P2_1/c (No. 14)
Inequivalent atoms, fractional coordinates:
K 0.1966 0.2034 0.3496 [4 per cell]  4 Au 3.20-3.33, 1 Hg 3.50
K 0.2522 0.5400 0.5832 [4 per cell]  4 Au 3.38-3.60, 2 Hg 3.62-3.69
K 0.2525 0.5406 0.1686 [4 per cell]  4 Au 3.38-3.59, 2 Hg 3.60-3.69
Hg 0.3759 0.7004 0.9377 [4 per cell]  3 Au 2.98
Au 0.0545 0.5731 0.7774 [4 per cell]  1 Hg 2.98, 2 K 3.20-3.25
Au 0.4493 0.2504 0.2254 [4 per cell]  2 Hg 2.98, 2 K 3.32-3.33

***

Entry 9:
A relaxed Al3PbAu10 crystal, computed with GGA-PBE.

Values from the calculation:
Energy of formation   -174 meV per atom

Unit cell a=14.6865 b=8.3474 c=10.4004 alpha=90.00 beta=117.86 gamma=90.00
Closest atoms and distances in Å follow each position.
Space group C2/m (No. 12)
Inequivalent atoms, fractional coordinates:
Al 0.0078 0.2173 0.2487 [8 per cell]  7 Au 2.58-2.70
Al 0.2335 0.0000 0.2557 [4 per cell]  7 Au 2.58-2.68
Pb 0.2481 0.0000 0.7397 [4 per cell]  7 Au 3.01-3.33
Au 0.0000 0.1751 0.5000 [4 per cell]  2 Al 2.69, 5 Au 2.75-2.97
Au 0.9996 0.5000 0.1436 [4 per cell]  2 Al 2.58
Au 0.1088 0.2299 0.0970 [8 per cell]  2 Al 2.63, 3 Au 2.86-2.94
Au 0.1271 0.0000 0.9064 [4 per cell]  2 Al 2.61, 4 Au 2.86-2.92
Au 0.1372 0.0000 0.4107 [4 per cell]  3 Al 2.59-2.60
Au 0.1620 0.3361 0.4959 [8 per cell]  2 Al 2.68-2.70, 5 Au 2.74-2.97
Au 0.1783 0.3245 0.8577 [8 per cell]  2 Al 2.58

***

Entry 10:
A relaxed BaCaGaNi crystal, computed with GGA-PBE.

Values from the calculation:
Energy of formation   -272 meV per atom

Unit cell a=7.4565 b=4.3046 c=8.2923 alpha=90.00 beta=107.54 gamma=90.00
Closest atoms and distances in Å follow each position.
Space group Cm (No. 8)
Inequivalent atoms, fractional coordinates:
Ba 0.0000 0.0000 0.0000 [2 per cell]  3 Ni 3.35, 3 Ga 3.36
Ca 0.3289 0.5000 0.4893 [2 per cell]  3 Ga 3.06, 3 Ni 3.06-3.07
Ga 0.2377 0.0000 0.7146 [2 per cell]  3 Ni 2.48-2.49
Ni 0.0714 0.5000 0.7163 [2 per cell]  3 Ga 2.48-2.49

***

Entry 11:
A relaxed U2TlCuS6 crystal, computed with GGA-PBE.

Values from the calculation:
Uncorrected formation energy   -0.9173 eV/atom

Unit cell a=13.4725 b=12.0837 c=6.9331 alpha=90.00 beta=102.59 gamma=90.00
Closest atoms and distances in Å follow each position.
Space group C2/c (No. 15)
Inequivalent atoms, fractional coordinates:
U 0.2428 0.0835 0.4740 [8 per cell]  6 S 2.58-2.69
Tl 0.0000 0.2503 0.7500 [4 per cell]  4 S 2.99-3.15
Cu 0.0000 0.1221 0.2500 [4 per cell]  4 S 2.37-2.48
S 0.1174 0.0292 0.7082 [8 per cell]  1 Cu 2.48, 2 U 2.60-2.67
S 0.1278 0.2560 0.3607 [8 per cell]  1 Cu 2.37, 1 U 2.61
S 0.1576 0.4290 0.8086 [8 per cell]  2 U 2.58-2.61

***

Entry 12:
A relaxed Sr3Ac3PtO8 crystal, computed with GGA-PBE.

Values from the calculation:
Uncorrected formation energy   -2.4163 eV/atom

Unit cell a=12.5106 b=7.5123 c=7.4392 alpha=90.00 beta=126.42 gamma=90.00
Closest atoms and distances in Å follow each position.
Space group C2/m (No. 12)
Inequivalent atoms, fractional coordinates:
Sr 0.0000 0.0000 0.0000 [2 per cell]  6 O 2.50-2.74
Sr 0.2500 0.2500 0.5000 [4 per cell]  6 O 2.58-2.72
Ac 0.0000 0.5000 0.5000 [2 per cell]  6 O 2.54-2.56
Ac 0.2500 0.2500 0.0000 [4 per cell]  6 O 2.47-2.63
Pt 0.0000 0.0000 0.5000 [2 per cell]  2 O 2.16
O 0.0056 0.2752 0.7638 [8 per cell]  2 Ac 2.47-2.56, 2 Sr 2.58-2.74
O 0.2145 0.0000 0.7242 [4 per cell]  1 Pt 2.16
O 0.2482 0.0000 0.2453 [4 per cell]  3 Sr 2.50-2.66, 3 Ac 2.54-2.63

***

> What is the formula in the third record?

CaAgO2